Density functional theory data (PBE-GGA) for a relaxed structure of Zr3Zn3IrPtAu.

POSCAR file:
```
Zr3Zn3IrPtAu
1.0
7.336 0.000 0.000
-3.668 6.353 0.000
0.000 0.000 3.449
Zr Zn Ir Pt Au
3 3 1 1 1
Cartesian
-0.704 2.174 0.000
-1.433 5.876 0.000
2.138 4.656 0.000
1.664 2.115 1.724
4.673 0.384 1.724
4.667 3.855 1.724
0.000 4.235 1.724
0.000 0.000 1.724
3.668 2.118 0.000
```

Computed properties:
Space-group type ... P-6 (174)
M_tot ... 0.001 μB per formula unit
V ... 160.7 Å³/cell
DFT total energy ... -0.4392 Ry per atom